Entry 1:
## Sr2TcCl (PBE-GGA)

Data for a relaxed structure of Sr2TcCl.

Cell lengths 3.5731, 3.5731, 8.4574 Å; angles 90.00, 90.00, 90.00 degrees
Space group P4/mmm (No. 123)
Asymmetric unit:
Sr (0.0000, 0.0000, 0.2376) (multiplicity 2)
Tc (0.5000, 0.5000, 0.0000) (multiplicity 1)
Cl (0.5000, 0.5000, 0.5000) (multiplicity 1)

Calculated values
E above lowest polymorph (meV/atom): 0
Energy relative to the elements, uncorrected (eV/atom): -0.283



Entry 2:
## Sr2TcCl8 (PBE-GGA)

Data for a relaxed structure of Sr2TcCl8.

Cell lengths 8.3510, 8.3510, 5.7268 Å; angles 90.00, 90.00, 120.00 degrees
Space group P-3m1 (No. 164)
Asymmetric unit:
Sr (0.3333, 0.6667, 0.1945) (multiplicity 2)
Tc (0.0000, 0.0000, 0.0000) (multiplicity 1)
Cl (0.1337, 0.2674, 0.2397) (multiplicity 6)
Cl (0.3333, 0.6667, 0.6985) (multiplicity 2)

Calculated values
Energy relative to the elements, uncorrected (eV/atom): -1.540



Entry 3:
## SrTc2TeCl (PBE-GGA)

Data for a relaxed structure of SrTc2TeCl.

Cell lengths 4.4876, 4.4876, 6.8490 Å; angles 90.00, 90.00, 90.00 degrees
Space group P4/mmm (No. 123)
Asymmetric unit:
Sr (0.0000, 0.0000, 0.0000) (multiplicity 1)
Tc (0.0000, 0.5000, 0.5000) (multiplicity 2)
Te (0.5000, 0.5000, 0.0000) (multiplicity 1)
Cl (0.5000, 0.5000, 0.5000) (multiplicity 1)

Calculated values
Energy relative to the elements, uncorrected (eV/atom): 0.644



no.,uncorrected energy (eV/atom)
1,-4.18
2,-4.13
3,-4.84